The following is a DFT calculation (PBE) of a relaxed TlCdSn2O crystal.

Unit cell a=5.936 b=4.154 c=5.936 alpha=90.00 beta=90.00 gamma=90.00
Fractional positions:
Tl (0.000, 0.000, 0.000)
Sn (0.500, 0.000, 0.000)
Sn (0.000, 0.000, 0.500)
Cd (0.500, 0.500, 0.500)
O (0.000, 0.500, 0.000)

Output
magnetization = 0.0 μB/f.u.
volume = 29.28 A^3/atom
formation energy without anion corrections = 0.3816 eV/atom
uncorrected energy = -2.87 eV/atom